A relaxed structure of GdHfZnHg, computed with PBE.

Results
Calculated formation energy = -0.14 eV per atom
Total energy = -6.547 eV per atom
Density = 11.15 g cm⁻³
Space group = F-43m (216)

Cell and atoms, written as POSCAR:
```
GdHfZnHg
1.0
5.023 0.000 0.000
2.512 4.350 0.000
2.512 1.450 4.102
Zn Gd Hf Hg
1 1 1 1
direct
0.000 0.000 0.000
0.750 0.750 0.750
0.250 0.250 0.250
0.500 0.500 0.500
```

A relaxed structure of KSr2Te2, computed with PBE.

Results
Total energy = -3.252 eV per atom
Density = 3.20 g cm⁻³
Polymorph energy (0 for the lowest one) = 0.115 eV/atom
Space group = I4/mmm (139)

Cell and atoms, written as POSCAR:
```
KSr2Te2
1.0
-0.773 5.386 -3.037
2.976 -2.359 -4.940
-4.363 -0.567 -6.288
Sr K Te
2 1 2
direct
0.326 0.326 0.348
0.674 0.674 0.652
0.000 0.000 0.000
0.750 0.250 0.500
0.250 0.750 0.500
```

A relaxed structure of Ba3Pm3PuTe8, computed with PBE.

Results
Total energy = -5.465 eV per atom
Density = 6.00 g cm⁻³
Space group = R-3m (166)

Cell and atoms, written as POSCAR:
```
Ba3Pm3PuTe8
1.0
9.179 -0.001 0.000
-4.590 7.952 -0.031
0.001 -5.272 8.029
Ba Pm Pu Te
3 3 1 8
direct
0.000 0.000 0.000
0.000 0.500 0.000
0.500 0.500 0.000
0.500 0.000 0.500
0.500 0.500 0.500
0.000 0.500 0.500
0.000 0.000 0.500
0.259 0.518 0.277
0.741 0.482 0.723
0.757 0.514 0.278
0.243 0.486 0.722
0.757 0.021 0.278
0.243 0.979 0.722
0.264 0.021 0.278
0.736 0.979 0.722
```

A relaxed structure of Dy2PaBi2N2, computed with PBE.

Results
Total energy = -7.155 eV per atom
Density = 10.48 g cm⁻³
Space group = I4/mmm (139)

Cell and atoms, written as POSCAR:
```
Dy2PaBi2N2
1.0
-2.126 3.061 2.326
2.108 -1.295 3.631
6.027 4.493 -4.554
Dy Pa Bi N
2 1 2 2
direct
0.393 0.393 0.787
0.607 0.607 0.213
0.000 0.000 0.000
0.195 0.195 0.389
0.805 0.805 0.611
0.000 0.500 0.000
0.500 0.000 0.000
```

A relaxed structure of SrCa2W, computed with PBE.

Results
Calculated formation energy = 0.93 eV per atom
Total energy = -3.730 eV per atom
Density = 4.56 g cm⁻³
Polymorph energy (0 for the lowest one) = 0.088 eV/atom
Space group = Pmm2 (25)

Cell and atoms, written as POSCAR:
```
SrCa2W
1.0
3.439 0.000 0.000
0.000 4.329 0.000
0.000 0.000 8.600
Sr Ca W
1 2 1
direct
0.000 0.000 0.555
0.000 0.000 0.950
0.500 0.500 0.204
0.500 0.500 0.791
```

A relaxed structure of Mg14MnCo, computed with PBE.

Results
Calculated formation energy = 0.09 eV per atom
Total energy = -2.319 eV per atom
Density = 2.26 g cm⁻³
Polymorph energy (0 for the lowest one) = 0.000 eV/atom
Space group = Amm2 (38)

Cell and atoms, written as POSCAR:
```
Mg14MnCo
1.0
3.107 -5.383 0.000
3.107 5.383 0.000
0.000 0.000 9.986
Mg Mn Co
14 1 1
direct
0.836 0.164 0.000
0.335 0.665 0.000
0.344 0.159 0.500
0.331 0.167 0.000
0.841 0.656 0.500
0.833 0.669 0.000
0.166 0.343 0.275
0.166 0.343 0.725
0.657 0.834 0.275
0.657 0.834 0.725
0.669 0.331 0.252
0.669 0.331 0.748
0.171 0.829 0.260
0.171 0.829 0.740
0.830 0.170 0.500
0.327 0.673 0.500
```

- Number 2 is which compound?
  KSr2Te2

- Which of these has the highest total energy?
  Mg14MnCo

Repeat the sixth record exactly.
A relaxed structure of Mg14MnCo, computed with PBE.

Results
Calculated formation energy = 0.09 eV per atom
Total energy = -2.319 eV per atom
Density = 2.26 g cm⁻³
Polymorph energy (0 for the lowest one) = 0.000 eV/atom
Space group = Amm2 (38)

Cell and atoms, written as POSCAR:
```
Mg14MnCo
1.0
3.107 -5.383 0.000
3.107 5.383 0.000
0.000 0.000 9.986
Mg Mn Co
14 1 1
direct
0.836 0.164 0.000
0.335 0.665 0.000
0.344 0.159 0.500
0.331 0.167 0.000
0.841 0.656 0.500
0.833 0.669 0.000
0.166 0.343 0.275
0.166 0.343 0.725
0.657 0.834 0.275
0.657 0.834 0.725
0.669 0.331 0.252
0.669 0.331 0.748
0.171 0.829 0.260
0.171 0.829 0.740
0.830 0.170 0.500
0.327 0.673 0.500
```